Record 1
! PrNdCd2Pb2, relaxed, DFT PBE; values from VASP
! Distance to the lowest polymorph of the same formula ... 0.00 kcal/mol of atoms
&SYSTEM
  ibrav = 0, nat = 12, ntyp = 4
/
ATOMIC_SPECIES
Cd 112.41 Cd.upf
Nd 144.24 Nd.upf
Pb 207.20 Pb.upf
Pr 140.91 Pr.upf
CELL_PARAMETERS angstrom
-2.575 2.306 -3.488
-2.022 -3.715 2.493
-5.695 10.641 11.239
ATOMIC_POSITIONS angstrom
Cd -3.098 -0.042 2.260
Cd -4.162 1.945 4.358
Cd -6.130 7.286 5.886
Cd -7.194 9.272 7.984
Nd -1.424 2.660 2.810
Nd -4.271 7.980 8.429
Pb -2.990 1.419 -0.311
Pb -4.639 4.499 2.942
Pb -5.653 4.732 7.301
Pb -7.302 7.812 10.555
Pr 0.000 0.000 0.000
Pr -2.848 5.320 5.619

Record 2
! NdCd2Pd, relaxed, DFT PBE; values from VASP
! Formation enthalpy at 0 K ... -54.4 kJ per mole of atoms
&SYSTEM
  ibrav = 0, nat = 8, ntyp = 3
/
ATOMIC_SPECIES
Cd 112.41 Cd.upf
Nd 144.24 Nd.upf
Pd 106.42 Pd.upf
CELL_PARAMETERS angstrom
4.296 2.731 -2.007
-4.796 1.504 2.164
3.500 0.129 7.670
ATOMIC_POSITIONS angstrom
Cd 1.226 2.300 -0.143
Cd 2.633 2.352 2.938
Cd 0.368 2.012 4.888
Cd 1.774 2.064 7.969
Nd 4.587 2.685 0.179
Nd -1.586 1.679 7.648
Pd -1.894 1.810 3.151
Pd 4.895 2.554 4.675

Record 3
! Nd3Cd3PdPt2, relaxed, DFT PBE; values from VASP
! Formation enthalpy at 0 K ... -78.4 kJ per mole of atoms
&SYSTEM
  ibrav = 0, nat = 9, ntyp = 4
/
ATOMIC_SPECIES
Cd 112.41 Cd.upf
Nd 144.24 Nd.upf
Pd 106.42 Pd.upf
Pt 195.08 Pt.upf
CELL_PARAMETERS angstrom
7.747 0.000 0.000
-3.873 6.709 0.000
0.000 0.000 4.002
ATOMIC_POSITIONS angstrom
Cd 5.802 0.000 2.001
Cd 0.972 1.684 2.001
Cd -2.901 5.025 2.001
Nd 3.177 0.000 0.000
Nd -1.588 2.751 0.000
Nd 2.285 3.958 0.000
Pd 0.000 0.000 0.000
Pt 3.873 2.236 2.001
Pt 0.000 4.473 2.001

In order of appearance, magnetization = 0.01 0.01 0.00 Bohr magnetons per cell.
In order of appearance, calculated total energy = -3.5640 -3.4958 -4.6198 eV per atom.